No. 1
{"formula": "Pm3TmBi2C", "functional": "PBE", "state": "optimized geometry", "lattice": [[-0.387, 3.227, 3.547], [-1.383, -3.627, 3.149], [8.774, -1.063, -1.338]], "species": ["Pm", "Pm", "Pm", "Tm", "Bi", "Bi", "C"], "fractional_positions": [[0.000, 0.500, 0.000], [0.156, 0.156, 0.312], [0.844, 0.844, 0.688], [0.500, 0.000, 0.000], [0.642, 0.642, 0.283], [0.358, 0.358, 0.717], [0.000, 0.000, 0.000]], "total_energy_ev_per_atom": -5.751}

=====

No. 2
{"formula": "PmY2BiC", "functional": "PBE", "state": "optimized geometry", "lattice": [[5.117, 0.000, 0.000], [0.000, 4.925, 0.000], [0.000, 0.000, 4.925]], "species": ["Pm", "Y", "Y", "Bi", "C"], "fractional_positions": [[0.500, 0.000, 0.000], [0.000, 0.000, 0.500], [0.000, 0.500, 0.000], [0.500, 0.500, 0.500], [0.000, 0.000, 0.000]], "total_energy_ev_per_atom": -6.687}

=====

No. 3
{"formula": "Pm2Y2Bi2C", "functional": "PBE", "state": "optimized geometry", "lattice": [[-1.762, -4.026, -2.087], [2.291, 1.142, -4.137], [6.359, -2.758, 5.621]], "species": ["Pm", "Pm", "Y", "Y", "Bi", "Bi", "C"], "fractional_positions": [[0.157, 0.157, 0.314], [0.843, 0.843, 0.686], [0.000, 0.500, 0.000], [0.500, 0.000, 0.000], [0.359, 0.359, 0.719], [0.641, 0.641, 0.281], [0.000, 0.000, 0.000]], "total_energy_ev_per_atom": -6.330}

=====

No. 4
{"formula": "Pm2YBiC", "functional": "PBE", "state": "optimized geometry", "lattice": [[4.913, 0.000, 0.000], [0.000, 5.100, 0.000], [0.000, 0.000, 5.100]], "species": ["Pm", "Pm", "Y", "Bi", "C"], "fractional_positions": [[0.000, 0.000, 0.500], [0.000, 0.500, 0.000], [0.500, 0.000, 0.000], [0.500, 0.500, 0.500], [0.000, 0.000, 0.000]], "total_energy_ev_per_atom": -6.314}

=====

No. 5
{"formula": "Pr4BiC", "functional": "PBE", "state": "optimized geometry", "lattice": [[-2.670, 0.968, 5.659], [-1.568, -7.429, 0.536], [8.254, 0.558, 0.255]], "species": ["Pr", "Pr", "Pr", "Pr", "Pr", "Pr", "Pr", "Pr", "Bi", "Bi", "C", "C"], "fractional_positions": [[0.490, 0.050, 0.806], [0.685, 0.450, 0.194], [0.510, 0.950, 0.194], [0.315, 0.550, 0.806], [0.878, 0.824, 0.624], [0.253, 0.676, 0.376], [0.122, 0.176, 0.376], [0.747, 0.324, 0.624], [0.879, 0.750, 0.000], [0.121, 0.250, 0.000], [0.500, 0.000, 0.500], [0.000, 0.500, 0.500]], "total_energy_ev_per_atom": -5.643}

=====

No. 6
{"formula": "Pr12Bi6C", "functional": "PBE", "state": "optimized geometry", "lattice": [[8.897, -0.033, -0.039], [-1.381, 8.789, -0.039], [-1.381, -1.609, 8.640]], "species": ["Pr", "Pr", "Pr", "Pr", "Pr", "Pr", "Pr", "Pr", "Pr", "Pr", "Pr", "Pr", "Bi", "Bi", "Bi", "Bi", "Bi", "Bi", "C"], "fractional_positions": [[0.806, 0.577, 0.450], [0.450, 0.806, 0.577], [0.577, 0.450, 0.806], [0.194, 0.423, 0.550], [0.550, 0.194, 0.423], [0.423, 0.550, 0.194], [0.061, 0.997, 0.297], [0.003, 0.703, 0.939], [0.703, 0.939, 0.003], [0.939, 0.003, 0.703], [0.997, 0.297, 0.061], [0.297, 0.061, 0.997], [0.700, 0.882, 0.354], [0.646, 0.300, 0.118], [0.118, 0.646, 0.300], [0.300, 0.118, 0.646], [0.354, 0.700, 0.882], [0.882, 0.354, 0.700], [0.000, 0.000, 0.000]], "total_energy_ev_per_atom": -5.223}

=====

No. 7
{"formula": "Pr4Bi2C", "functional": "PBE", "state": "optimized geometry", "lattice": [[-2.760, -0.968, -4.174], [3.761, -2.927, -1.808], [-3.868, -4.710, 6.763]], "species": ["Pr", "Pr", "Pr", "Pr", "C", "Bi", "Bi"], "fractional_positions": [[0.844, 0.844, 0.688], [0.156, 0.156, 0.312], [0.000, 0.500, 0.000], [0.500, 0.000, 0.000], [0.000, 0.000, 0.000], [0.642, 0.642, 0.285], [0.358, 0.358, 0.715]], "total_energy_ev_per_atom": -5.727}

=====

No. 8
{"formula": "Pr6Bi2C", "functional": "PBE", "state": "optimized geometry", "lattice": [[7.267, 0.000, -0.191], [0.000, 7.270, 0.000], [0.271, 0.000, 10.231]], "species": ["Pr", "Pr", "Pr", "Pr", "Pr", "Pr", "Pr", "Pr", "Pr", "Pr", "Pr", "Pr", "Bi", "Bi", "Bi", "Bi", "C", "C"], "fractional_positions": [[0.000, 0.000, 0.253], [0.753, 0.755, 0.500], [0.745, 0.747, 0.000], [0.755, 0.247, 0.500], [0.747, 0.255, 0.000], [0.500, 0.500, 0.247], [0.000, 0.000, 0.747], [0.247, 0.245, 0.500], [0.255, 0.253, 0.000], [0.245, 0.753, 0.500], [0.253, 0.745, 0.000], [0.500, 0.500, 0.753], [0.000, 0.500, 0.750], [0.500, 0.000, 0.750], [0.500, 0.000, 0.250], [0.000, 0.500, 0.250], [0.500, 0.500, 0.000], [0.000, 0.000, 0.500]], "total_energy_ev_per_atom": -5.476}

=====

No. 9
{"formula": "Pr4BiC", "functional": "PBE", "state": "optimized geometry", "lattice": [[6.689, -0.502, 0.934], [1.861, 7.400, 4.280], [-0.018, 0.885, 7.420]], "species": ["Pr", "Pr", "Pr", "Pr", "Pr", "Pr", "Pr", "Pr", "Bi", "Bi", "C", "C"], "fractional_positions": [[0.893, 0.408, 0.790], [0.046, 0.030, 0.733], [0.607, 0.802, 0.790], [0.454, 0.237, 0.733], [0.546, 0.763, 0.267], [0.393, 0.198, 0.210], [0.954, 0.970, 0.267], [0.107, 0.592, 0.210], [0.750, 0.363, 0.274], [0.250, 0.637, 0.726], [0.250, 0.990, 0.020], [0.750, 0.010, 0.980]], "total_energy_ev_per_atom": -5.558}

=====

No. 10
{"formula": "Pr6Bi2C", "functional": "PBE", "state": "optimized geometry", "lattice": [[6.650, 0.000, 0.159], [0.000, 8.378, 0.000], [-0.611, 0.000, 10.261]], "species": ["Pr", "Pr", "Pr", "Pr", "Pr", "Pr", "Pr", "Pr", "Pr", "Pr", "Pr", "Pr", "Bi", "Bi", "Bi", "Bi", "C", "C"], "fractional_positions": [[0.893, 0.973, 0.254], [0.864, 0.716, 0.543], [0.831, 0.664, 0.963], [0.669, 0.164, 0.537], [0.636, 0.216, 0.957], [0.607, 0.473, 0.246], [0.107, 0.027, 0.746], [0.136, 0.284, 0.457], [0.169, 0.336, 0.037], [0.331, 0.836, 0.463], [0.364, 0.784, 0.043], [0.393, 0.527, 0.754], [0.921, 0.397, 0.741], [0.579, 0.897, 0.759], [0.421, 0.103, 0.241], [0.079, 0.603, 0.259], [0.500, 0.500, 0.000], [0.000, 0.000, 0.500]], "total_energy_ev_per_atom": -5.510}

=====

No. 11
{"formula": "Pr7Bi3C2", "functional": "PBE", "state": "optimized geometry", "lattice": [[-4.661, 1.638, 1.523], [-2.005, -1.630, -4.383], [-0.009, -12.512, 4.657]], "species": ["Pr", "Pr", "Pr", "Pr", "Pr", "Pr", "Pr", "Bi", "Bi", "Bi", "C", "C"], "fractional_positions": [[0.597, 0.000, 0.194], [0.197, 0.000, 0.393], [0.000, 0.000, 0.000], [0.403, 0.000, 0.806], [0.905, 0.500, 0.809], [0.095, 0.500, 0.191], [0.803, 0.000, 0.607], [0.500, 0.500, 0.000], [0.311, 0.500, 0.622], [0.689, 0.500, 0.378], [0.103, 0.000, 0.206], [0.897, 0.000, 0.794]], "total_energy_ev_per_atom": -5.797}

=====

No. 12
{"formula": "Pr5Bi2C", "functional": "PBE", "state": "optimized geometry", "lattice": [[-2.464, 5.344, -0.520], [-1.533, -4.356, -3.951], [-11.943, -4.566, 9.666]], "species": ["Pr", "Pr", "Pr", "Pr", "Pr", "Pr", "Pr", "Pr", "Pr", "Pr", "Bi", "Bi", "Bi", "Bi", "C", "C"], "fractional_positions": [[0.906, 0.812, 0.866], [0.906, 0.812, 0.634], [0.405, 0.810, 0.366], [0.405, 0.810, 0.134], [0.749, 0.498, 0.250], [0.251, 0.502, 0.750], [0.595, 0.190, 0.634], [0.595, 0.190, 0.866], [0.094, 0.188, 0.134], [0.094, 0.188, 0.366], [0.749, 0.499, 0.444], [0.749, 0.499, 0.056], [0.251, 0.501, 0.556], [0.251, 0.501, 0.944], [0.751, 0.502, 0.750], [0.249, 0.498, 0.250]], "total_energy_ev_per_atom": -5.438}